Compound: Hf6TcO
Source: the Alexandria database
Functional: GGA-PBE
Structure: relaxed

D(E_F): 4.30 states/eV/f.u.
VASP energy: -10.16 eV per atom

Cell: 4.996 5.710 5.820 Å, 97.28 113.78 90.68°
Fractional coordinates of all 8 atoms:
Hf 0.068 0.281 0.147
Hf 0.238 0.835 0.485
Hf 0.398 0.367 0.760
Hf 0.602 0.633 0.240
Hf 0.762 0.165 0.515
Hf 0.932 0.719 0.853
Tc 0.500 0.000 0.000
O 0.000 0.500 0.500

***

Compound: HfTcO3
Source: the Alexandria database
Functional: GGA-PBE
Structure: relaxed

D(E_F): 4.19 states/eV/f.u.
VASP energy: -8.04 eV per atom

Cell: 3.882 3.882 3.882 Å, 90.00 90.00 90.00°
Fractional coordinates of all 5 atoms:
Hf 0.000 0.000 0.000
Tc 0.500 0.500 0.500
O 0.000 0.500 0.500
O 0.500 0.000 0.500
O 0.500 0.500 0.000

***

Compound: HfTlTcO2
Source: the Alexandria database
Functional: GGA-PBE
Structure: relaxed

D(E_F): 2.92 states/eV/f.u.
VASP energy: -6.65 eV per atom

Cell: 3.918 3.918 5.813 Å, 90.00 90.00 90.00°
Fractional coordinates of all 5 atoms:
Hf 0.000 0.000 0.000
Tl 0.500 0.500 0.000
Tc 0.500 0.500 0.500
O 0.000 0.500 0.500
O 0.500 0.000 0.500

***

Compound: HfTlTcO6
Source: the Alexandria database
Functional: GGA-PBE
Structure: relaxed

VASP energy: -7.68 eV per atom

Cell: 5.401 5.401 5.760 Å, 90.00 90.00 120.00°
Fractional coordinates of all 9 atoms:
Hf 0.000 0.000 0.000
Tl 0.667 0.333 0.449
Tc 0.333 0.667 0.939
O 0.072 0.363 0.158
O 0.074 0.724 0.773
O 0.276 0.350 0.773
O 0.290 0.928 0.158
O 0.637 0.710 0.158
O 0.650 0.926 0.773

***

Compound: Hf2TeO
Source: the Alexandria database
Functional: GGA-PBE
Structure: relaxed

D(E_F): 0.78 states/eV/f.u.
offset from the most stable computed form: 2.25 eV per formula unit
VASP energy: -7.56 eV per atom

Cell: 4.650 4.650 4.650 Å, 60.00 60.00 60.00°
Fractional coordinates of all 4 atoms:
Hf 0.250 0.250 0.250
Hf 0.750 0.750 0.750
Te 0.000 0.000 0.000
O 0.500 0.500 0.500

***

Compound: Hf3Te4O2
Source: the Alexandria database
Functional: GGA-PBE
Structure: relaxed

D(E_F): 5.48 states/eV/f.u.
VASP energy: -6.94 eV per atom

Cell: 3.321 3.321 22.445 Å, 90.00 90.00 120.00°
Fractional coordinates of all 9 atoms:
Hf 0.000 0.000 0.000
Hf 0.000 0.000 0.321
Hf 0.667 0.333 0.700
Te 0.000 0.000 0.601
Te 0.000 0.000 0.800
Te 0.667 0.333 0.222
Te 0.667 0.333 0.420
O 0.667 0.333 0.051
O 0.667 0.333 0.949

***

Compound: HfTeO2
Source: the Alexandria database
Functional: GGA-PBE
Structure: relaxed

D(E_F): 2.04 states/eV/f.u.
VASP energy: -6.51 eV per atom

Cell: 5.966 5.966 5.966 Å, 37.29 37.29 37.29°
Fractional coordinates of all 4 atoms:
Hf 0.000 0.000 0.000
Te 0.500 0.500 0.500
O 0.121 0.121 0.121
O 0.879 0.879 0.879

***

Compound: HfTeO2
Source: the Alexandria database
Functional: GGA-PBE
Structure: relaxed

D(E_F): 10.39 states/eV/f.u.
VASP energy: -7.84 eV per atom

Cell: 6.335 6.335 6.335 Å, 60.00 60.00 60.00°
Fractional coordinates of all 8 atoms:
Hf 0.125 0.125 0.125
Hf 0.875 0.875 0.875
Te 0.375 0.375 0.375
Te 0.625 0.625 0.625
O 0.000 0.000 0.000
O 0.000 0.000 0.500
O 0.000 0.500 0.000
O 0.500 0.000 0.000

***

Compound: HfTe3O8
Source: the Alexandria database
Functional: GGA-PBE
Structure: relaxed

D(E_F): 0.00 states/eV/f.u.
VASP energy: -6.60 eV per atom

Cell: 9.974 9.974 9.974 Å, 109.47 109.47 109.47°
Fractional coordinates of all 48 atoms:
Hf 0.000 0.000 0.500
Hf 0.000 0.500 0.000
Hf 0.500 0.000 0.000
Hf 0.500 0.500 0.500
Te 0.051 0.250 0.301
Te 0.199 0.449 0.750
Te 0.250 0.301 0.051
Te 0.250 0.801 0.551
Te 0.301 0.051 0.250
Te 0.449 0.750 0.199
Te 0.551 0.250 0.801
Te 0.699 0.949 0.750
Te 0.750 0.199 0.449
Te 0.750 0.699 0.949
Te 0.801 0.551 0.250
Te 0.949 0.750 0.699
O 0.000 0.334 0.500
O 0.000 0.666 0.500
O 0.031 0.455 0.797
O 0.045 0.076 0.341
O 0.076 0.341 0.045
O 0.159 0.235 0.703
O 0.166 0.166 0.166
O 0.203 0.969 0.545
O 0.235 0.703 0.159
O 0.265 0.424 0.469
O 0.297 0.841 0.765
O 0.334 0.500 0.000
O 0.341 0.045 0.076
O 0.424 0.469 0.265
O 0.455 0.797 0.031
O 0.469 0.265 0.424
O 0.500 0.000 0.334
O 0.500 0.000 0.666
O 0.531 0.735 0.576
O 0.545 0.203 0.969
O 0.576 0.531 0.735
O 0.659 0.955 0.924
O 0.666 0.500 0.000
O 0.703 0.159 0.235
O 0.735 0.576 0.531
O 0.765 0.297 0.841
O 0.797 0.031 0.455
O 0.834 0.834 0.834
O 0.841 0.765 0.297
O 0.924 0.659 0.955
O 0.955 0.924 0.659
O 0.969 0.545 0.203